*P*
First-principles (GGA-PBEsol) data for a relaxed InAsW2 crystal, as listed in the Alexandria database.

Output
SG ... No. 216
ρ ... 13.53 g/cm³

```
4
Lattice="0.000 3.246 3.246 3.246 0.000 3.246 3.246 3.246 0.000" Properties=species:S:1:pos:R:3 pbc="T T T"
In 0.000 0.000 0.000
As 4.869 4.869 4.869
W 1.623 1.623 1.623
W 3.246 3.246 3.246
```


*Q*
First-principles (GGA-PBEsol) data for a relaxed InAsW2 crystal, as listed in the Alexandria database.

Output
SG ... No. 123
ρ ... 13.88 g/cm³

```
4
Lattice="3.098 0.000 0.000 0.000 3.098 0.000 0.000 0.000 6.948" Properties=species:S:1:pos:R:3 pbc="T T T"
In 0.000 0.000 0.000
As 0.000 0.000 3.474
W 1.549 1.549 2.080
W 1.549 1.549 4.868
```


Of them, *Q* has the highest stability.


*P*
First-principles (GGA-PBEsol) data for a relaxed TaRuRh2 crystal, as listed in the Alexandria database.

Output
SG ... No. 12
ρ ... 14.08 g/cm³

```
4
Lattice="4.514 -1.394 0.000 4.514 1.394 0.000 -0.878 0.000 4.573" Properties=species:S:1:pos:R:3 pbc="T T T"
Ta 0.000 0.000 0.000
Ru 4.075 0.000 2.286
Rh 1.588 0.000 3.391
Rh 6.563 0.000 1.181
```


*Q*
First-principles (GGA-PBEsol) data for a relaxed TaRuRh2 crystal, as listed in the Alexandria database.

Output
SG ... No. 225
ρ ... 13.77 g/cm³

```
4
Lattice="0.000 3.087 3.087 3.087 0.000 3.087 3.087 3.087 0.000" Properties=species:S:1:pos:R:3 pbc="T T T"
Ta 0.000 0.000 0.000
Ru 3.087 3.087 3.087
Rh 1.544 1.544 1.544
Rh 4.631 4.631 4.631
```


Of them, *P* has the highest stability.